--- w ---
This record from the Alexandria database describes a geometry-optimized InSiSb2 structure. The functional is GGA-PBEsol.

Properties
**Symmetry**: Cmmm (65)
**Total magnetic moment**: 0.000 μB per atom
**ρ**: 6.79 g/cm³

```
InSiSb2
1.0
1.806 -2.618 0.000
1.806 2.618 0.000
0.000 0.000 9.997
In Si Sb
1 1 2
Direct
0.000 0.000 0.000 In
0.000 0.000 0.500 Si
0.500 0.500 0.280 Sb
0.500 0.500 0.720 Sb
```

--- x ---
This record from the Alexandria database describes a geometry-optimized InSiSb2 structure. The functional is GGA-PBEsol.

Properties
**Symmetry**: Pmmm (47)
**Total magnetic moment**: 0.000 μB per atom
**ρ**: 6.86 g/cm³

```
InSiSb2
1.0
3.649 0.000 0.000
0.000 5.051 0.000
0.000 0.000 5.077
In Si Sb
1 1 2
Direct
0.000 0.000 0.000 In
0.500 0.500 0.000 Si
0.000 0.500 0.500 Sb
0.500 0.000 0.500 Sb
```

Top of the stability list: w, leading by 0.051 eV/atom.

--- w ---
This record from the Alexandria database describes a geometry-optimized Ta2InSb structure. The functional is GGA-PBEsol.

Properties
**Symmetry**: R3m (160)
**Total magnetic moment**: 0.000 μB per atom
**ρ**: 11.74 g/cm³

```
Ta2InSb
1.0
1.623 0.937 9.272
-1.623 0.937 9.272
0.000 -1.874 9.272
Ta In Sb
2 1 1
Direct
0.000 0.000 0.000 Ta
0.263 0.263 0.263 Ta
0.511 0.511 0.511 In
0.746 0.746 0.746 Sb
```

--- x ---
This record from the Alexandria database describes a geometry-optimized Ta2InSb structure. The functional is GGA-PBEsol.

Properties
**Symmetry**: Fm-3m (225)
**Total magnetic moment**: 0.000 μB per atom
**ρ**: 13.08 g/cm³

```
Ta2InSb
1.0
0.000 3.361 3.361
3.361 0.000 3.361
3.361 3.361 0.000
Ta In Sb
2 1 1
Direct
0.250 0.250 0.250 Ta
0.750 0.750 0.750 Ta
0.000 0.000 0.000 In
0.500 0.500 0.500 Sb
```

Top of the stability list: w, leading by 0.159 eV/atom.

--- w ---
This record from the Alexandria database describes a geometry-optimized Ta2InSb structure. The functional is GGA-PBEsol.

Properties
**Symmetry**: Cmmm (65)
**Total magnetic moment**: 0.000 μB per atom
**ρ**: 12.97 g/cm³

```
Ta2InSb
1.0
3.064 -3.555 0.000
3.064 3.555 0.000
0.000 0.000 3.519
Ta In Sb
2 1 1
Direct
0.000 0.500 0.000 Ta
0.500 0.000 0.000 Ta
0.000 0.000 0.500 In
0.500 0.500 0.500 Sb
```

--- x ---
This record from the Alexandria database describes a geometry-optimized Ta2InSb structure. The functional is GGA-PBEsol.

Properties
**Symmetry**: I-4m2 (119)
**Total magnetic moment**: 0.000 μB per atom
**ρ**: 12.92 g/cm³

```
Ta2InSb
1.0
-2.072 2.072 4.476
2.072 -2.072 4.476
2.072 2.072 -4.476
Ta In Sb
2 1 1
Direct
0.000 0.000 0.000 Ta
0.750 0.250 0.500 Ta
0.500 0.500 0.000 In
0.250 0.750 0.500 Sb
```

Top of the stability list: x, leading by 0.039 eV/atom.

--- w ---
This record from the Alexandria database describes a geometry-optimized In3SbTe2 structure. The functional is GGA-PBEsol.

Properties
**Symmetry**: P-3m1 (164)
**Total magnetic moment**: 0.000 μB per atom
**ρ**: 7.04 g/cm³

```
In3SbTe2
1.0
4.321 0.000 0.000
-2.160 3.742 0.000
0.000 0.000 10.526
In Sb Te
3 1 2
Direct
0.000 0.000 0.000 In
0.333 0.667 0.656 In
0.667 0.333 0.344 In
0.000 0.000 0.500 Sb
0.333 0.667 0.169 Te
0.667 0.333 0.831 Te
```

--- x ---
This record from the Alexandria database describes a geometry-optimized In3SbTe2 structure. The functional is GGA-PBEsol.

Properties
**Symmetry**: Immm (71)
**Total magnetic moment**: 0.000 μB per atom
**ρ**: 7.04 g/cm³

```
In3SbTe2
1.0
-2.164 3.038 6.468
2.164 -3.038 6.468
2.164 3.038 -6.468
In Sb Te
3 1 2
Direct
0.000 0.000 0.000 In
0.341 0.341 0.000 In
0.659 0.659 0.000 In
0.500 0.000 0.500 Sb
0.171 0.671 0.500 Te
0.829 0.329 0.500 Te
```

Top of the stability list: x, leading by 0.006 eV/atom.